[1]
Compound: Mg2HgAs
Source: Alexandria via LeMat-Bulk
Functional: PBE-GGA
Structure: relaxed

## Properties
Energy relative to the lowest polymorph listed for this composition = 0.000 eV/atom
ΔE_f = -0.3686 eV/atom

a b c (Å): 4.1131 4.1131 19.1030
angles (deg): 90.00 90.00 120.00
Space group R3m (No. 160, hexagonal axes)
Unique sites:
Mg (0.0000, 0.0000, 0.0000) [3 per cell]
Mg (0.0000, 0.0000, 0.2002) [3 per cell]
Hg (0.0000, 0.0000, 0.7687) [3 per cell]
As (0.0000, 0.0000, 0.6030) [3 per cell]



[2]
Compound: HoHfSn
Source: Alexandria via LeMat-Bulk
Functional: PBE-GGA
Structure: relaxed

## Properties
Energy relative to the lowest polymorph listed for this composition = 0.413 eV/atom
ΔE_f = -0.1140 eV/atom

a b c (Å): 5.0257 5.0257 3.4887
angles (deg): 90.00 90.00 120.00
Space group P3m1 (No. 156)
Unique sites:
Ho (0.0000, 0.0000, 0.0000) [1 per cell]
Hf (0.6667, 0.3333, 0.5333) [1 per cell]
Sn (0.3333, 0.6667, 0.3993) [1 per cell]



[3]
Compound: HfAgIr2
Source: Alexandria via LeMat-Bulk
Functional: PBE-GGA
Structure: relaxed

## Properties
ΔE_f = 0.1693 eV/atom

a b c (Å): 7.283 7.283 5.546
angles (deg): 90.00 90.00 90.00
Space group I-42d (No. 122)
Unique sites:
Hf (0.000, 0.000, 0.000) [4 per cell]
Ag (0.000, 0.000, 0.500) [4 per cell]
Ir (0.235, 0.250, 0.125) [8 per cell]



[4]
Compound: Ac2TlPt3
Source: Alexandria via LeMat-Bulk
Functional: PBE-GGA
Structure: relaxed

## Properties
ΔE_f = -0.8250 eV/atom

a b c (Å): 8.226 9.666 15.885
angles (deg): 90.00 90.00 90.00
Space group Fmmm (No. 69)
Unique sites:
Ac (0.237, 0.000, 0.000) [8 per cell]
Ac (0.250, 0.250, 0.250) [8 per cell]
Tl (0.000, 0.000, 0.334) [8 per cell]
Pt (0.000, 0.000, 0.160) [8 per cell]
Pt (0.000, 0.247, 0.084) [16 per cell]



[5]
Compound: TcNiCl2
Source: Alexandria via LeMat-Bulk
Functional: PBE-GGA
Structure: relaxed

## Properties
Energy relative to the lowest polymorph listed for this composition = 0.613 eV/atom
Formation energy without anion corrections = 12.91 kcal/mol of atoms

a b c (Å): 2.999 3.967 5.675
angles (deg): 90.00 90.00 90.00
Space group Pmmm (No. 47)
Unique sites:
Tc (0.000, 0.000, 0.000) [1 per cell]
Ni (0.500, 0.000, 0.500) [1 per cell]
Cl (0.000, 0.500, 0.500) [1 per cell]
Cl (0.500, 0.500, 0.000) [1 per cell]



[6]
Compound: TcNi2W2
Source: Alexandria via LeMat-Bulk
Functional: PBE-GGA
Structure: relaxed

## Properties
ΔE_f = 0.1333 eV/atom

a b c (Å): 6.576 6.576 3.179
angles (deg): 90.00 90.00 90.00
Space group P4/mbm (No. 127)
Unique sites:
Tc (0.000, 0.000, 0.000) [2 per cell]
Ni (0.123, 0.377, 0.000) [4 per cell]
W (0.178, 0.678, 0.500) [4 per cell]



Result set for N(E_F): 0.98, 3.72, 4.51, 2.82, 3.50, 4.83 states/eV/f.u., one per record in the order listed.